[1]
A relaxed NaInGe crystal, computed with PBE.

Lattice parameters (Å, degrees): 8.842 8.842 8.842 30.43 30.43 30.43
Element x y z (fractional)
In  0.875  0.875  0.875
In  0.125  0.125  0.125
Ge  0.242  0.242  0.242
Ge  0.758  0.758  0.758
Na  0.372  0.372  0.372
Na  0.628  0.628  0.628

Calculated values
uncorrected energy = -2.9253 eV per atom
E_form = -0.034 eV/atom
DOS(E_F) = 0.088 states/eV/atom
space group = No. 166

[2]
A relaxed NaInGe crystal, computed with PBE.

Lattice parameters (Å, degrees): 6.025 3.958 7.232 90.41 110.65 70.15
Element x y z (fractional)
Ge  0.103  0.710  0.881
Ge  0.839  0.344  0.644
In  0.464  0.035  0.731
In  0.816  0.357  0.049
Na  0.085  0.724  0.419
Na  0.461  0.031  0.232

Calculated values
uncorrected energy = -2.9115 eV per atom
E_form = -0.020 eV/atom
DOS(E_F) = 0.284 states/eV/atom
space group = No. 1

[3]
A relaxed Na2InGe crystal, computed with PBE.

Lattice parameters (Å, degrees): 3.332 3.332 10.644 81.00 81.00 60.00
Element x y z (fractional)
Na  0.744  0.744  0.768
Na  0.256  0.256  0.232
Ge  0.000  0.000  0.000
In  0.500  0.500  0.500

Calculated values
uncorrected energy = -2.4420 eV per atom
E_form = 0.056 eV/atom
excess energy over the best structure of this formula in the dataset = 119 meV per atom
DOS(E_F) = 0.432 states/eV/atom
space group = No. 166

[4]
A relaxed NaInGe crystal, computed with PBE.

Lattice parameters (Å, degrees): 6.592 6.049 6.049 51.36 105.59 74.41
Element x y z (fractional)
Ge  0.202  0.926  0.929
Ge  0.798  0.929  0.926
Na  0.266  0.554  0.638
Na  0.734  0.638  0.554
In  0.269  0.241  0.334
In  0.731  0.334  0.241

Calculated values
uncorrected energy = -2.8633 eV per atom
E_form = 0.028 eV/atom
DOS(E_F) = 0.373 states/eV/atom
space group = No. 5

[5]
A relaxed Na3InGe crystal, computed with PBE.

Lattice parameters (Å, degrees): 5.581 5.581 5.581 90.00 90.00 90.00
Element x y z (fractional)
In  0.500  0.500  0.500
Na  0.000  0.500  0.000
Na  0.000  0.000  0.500
Na  0.500  0.000  0.000
Ge  0.000  0.000  0.000

Calculated values
uncorrected energy = -2.0495 eV per atom
E_form = 0.213 eV/atom
excess energy over the best structure of this formula in the dataset = 297 meV per atom
DOS(E_F) = 0.364 states/eV/atom
space group = No. 221

[6]
A relaxed NaInGe2 crystal, computed with PBE.

Lattice parameters (Å, degrees): 4.330 4.468 4.468 90.00 90.00 90.00
Element x y z (fractional)
In  0.500  0.500  0.500
Ge  0.000  0.500  0.000
Ge  0.000  0.000  0.500
Na  0.500  0.000  0.000

Calculated values
uncorrected energy = -3.2640 eV per atom
E_form = 0.059 eV/atom
DOS(E_F) = 0.293 states/eV/atom
space group = No. 123

[7]
A relaxed NaInGe crystal, computed with PBE.

Lattice parameters (Å, degrees): 8.775 4.971 3.232 90.00 90.00 90.00
Element x y z (fractional)
Na  0.500  0.500  0.500
Na  0.000  0.000  0.500
In  0.676  0.000  0.000
In  0.324  0.000  0.000
Ge  0.847  0.500  0.000
Ge  0.153  0.500  0.000

Calculated values
uncorrected energy = -2.8899 eV per atom
E_form = 0.002 eV/atom
DOS(E_F) = 0.445 states/eV/atom
space group = No. 47

[8]
A relaxed Na3In4Ge2 crystal, computed with PBE.

Lattice parameters (Å, degrees): 4.701 5.984 9.825 101.34 90.00 113.13
Element x y z (fractional)
Na  0.382  0.765  0.289
Na  0.618  0.235  0.711
Na  0.000  0.000  0.000
In  0.115  0.231  0.444
In  0.885  0.769  0.556
In  0.704  0.408  0.058
In  0.296  0.592  0.942
Ge  0.677  0.354  0.324
Ge  0.323  0.646  0.676

Calculated values
uncorrected energy = -2.7593 eV per atom
E_form = -0.076 eV/atom
DOS(E_F) = 0.299 states/eV/atom
space group = No. 12

Please write out number 8 again, unchanged.
A relaxed Na3In4Ge2 crystal, computed with PBE.

Lattice parameters (Å, degrees): 4.701 5.984 9.825 101.34 90.00 113.13
Element x y z (fractional)
Na  0.382  0.765  0.289
Na  0.618  0.235  0.711
Na  0.000  0.000  0.000
In  0.115  0.231  0.444
In  0.885  0.769  0.556
In  0.704  0.408  0.058
In  0.296  0.592  0.942
Ge  0.677  0.354  0.324
Ge  0.323  0.646  0.676

Calculated values
uncorrected energy = -2.7593 eV per atom
E_form = -0.076 eV/atom
DOS(E_F) = 0.299 states/eV/atom
space group = No. 12

Copy entry 7 word for word.
A relaxed NaInGe crystal, computed with PBE.

Lattice parameters (Å, degrees): 8.775 4.971 3.232 90.00 90.00 90.00
Element x y z (fractional)
Na  0.500  0.500  0.500
Na  0.000  0.000  0.500
In  0.676  0.000  0.000
In  0.324  0.000  0.000
Ge  0.847  0.500  0.000
Ge  0.153  0.500  0.000

Calculated values
uncorrected energy = -2.8899 eV per atom
E_form = 0.002 eV/atom
DOS(E_F) = 0.445 states/eV/atom
space group = No. 47

Which formula does entry 7 have? NaInGe